Entry 1:
The following is a GGA-PBEsol calculation of a relaxed LaMg crystal, from Alexandria.

Properties
Crystal system: monoclinic
Energy relative to the lowest polymorph listed for this composition, eV/f.u.: 0.097
E_tot, Ha/atom: -0.132
ΔH_f (0 K), eV/atom: -0.047

abc: 12.8306 3.6666 7.6190
angles: 90.00 107.54 90.00
With the nearest neighbours (Å) after each atom.
Space group Cm (No. 8)
Inequivalent atoms, fractional coordinates:
La (0.0000, 0.0000, 0.0000)  5 La 3.28-3.67, 6 Mg 3.41-3.46
La (0.0060, 0.0000, 0.4557)  5 La 3.41-3.67, 6 Mg 3.41-3.50
La (0.3511, 0.0000, 0.6601)  6 La 3.28-3.67, 4 Mg 3.34-3.44
Mg (0.1705, 0.5000, 0.8164)  2 Mg 3.09, 6 La 3.44-3.46
Mg (0.1910, 0.5000, 0.3168)  2 Mg 3.02, 2 La 3.34
Mg (0.3091, 0.0000, 0.1248)  4 Mg 3.02-3.09

***

Entry 2:
The following is a GGA-PBEsol calculation of a relaxed LaMg3 crystal, from Alexandria.

Properties
Crystal system: cubic
E_tot, Ha/atom: -0.101
ΔH_f (0 K), eV/atom: -0.131

abc: 7.4272 7.4272 7.4272
angles: 90.00 90.00 90.00
With the nearest neighbours (Å) after each atom.
Space group Fm-3m (No. 225)
Inequivalent atoms, fractional coordinates:
La (0.0000, 0.0000, 0.0000)  8 Mg 3.22
Mg (0.0000, 0.0000, 0.5000)  8 Mg 3.22
Mg (0.2500, 0.2500, 0.2500)  4 La 3.22, 4 Mg 3.22

***

Entry 3:
The following is a GGA-PBEsol calculation of a relaxed La4Mg3 crystal, from Alexandria.

Properties
Crystal system: hexagonal
Energy relative to the lowest polymorph listed for this composition, eV/f.u.: 0.046
E_tot, Ha/atom: -0.140
ΔH_f (0 K), eV/atom: -0.018

abc: 6.0865 6.0865 6.5682
angles: 90.00 90.00 120.00
With the nearest neighbours (Å) after each atom.
Space group P6/mmm (No. 191)
Inequivalent atoms, fractional coordinates:
La (0.0000, 0.0000, 0.2247)  1 La 2.95
La (0.3333, 0.6667, 0.0000)  9 La 3.51-3.81, 6 Mg 3.72
Mg (0.0000, 0.5000, 0.5000)  4 Mg 3.04

***

Entry 4:
The following is a GGA-PBEsol calculation of a relaxed LaMg8 crystal, from Alexandria.

Properties
Crystal system: tetragonal
E_tot, Ha/atom: -0.079
ΔH_f (0 K), eV/atom: -0.039

abc: 9.5781 9.5781 4.7899
angles: 90.00 90.00 90.00
With the nearest neighbours (Å) after each atom.
Space group I4/mmm (No. 139)
Inequivalent atoms, fractional coordinates:
La (0.0000, 0.0000, 0.0000)  12 Mg 3.26-3.36
Mg (0.0000, 0.3408, 0.0000)  11 Mg 3.05-3.33, 1 La 3.26
Mg (0.1739, 0.1739, 0.5000)  10 Mg 3.13-3.33, 2 La 3.36

***

Entry 5:
The following is a GGA-PBEsol calculation of a relaxed La4Mg5 crystal, from Alexandria.

Properties
Crystal system: tetragonal
E_tot, Ha/atom: -0.123
ΔH_f (0 K), eV/atom: -0.025

abc: 10.1061 10.1061 5.0496
angles: 90.00 90.00 90.00
With the nearest neighbours (Å) after each atom.
Space group I4/mmm (No. 139)
Inequivalent atoms, fractional coordinates:
La (0.0000, 0.3275, 0.0000)  7 Mg 3.31-3.47, 5 La 3.49-3.53
Mg (0.0000, 0.0000, 0.0000)  4 La 3.31, 8 Mg 3.37
Mg (0.1566, 0.1566, 0.5000)  4 Mg 3.16-3.37, 6 La 3.44-3.47

***

Entry 6:
The following is a GGA-PBEsol calculation of a relaxed LaMg crystal, from Alexandria.

Properties
Crystal system: cubic
Energy relative to the lowest polymorph listed for this composition, eV/f.u.: 0.000
E_tot, Ha/atom: -0.133
ΔH_f (0 K), eV/atom: -0.095

abc: 3.9050 3.9050 3.9050
angles: 90.00 90.00 90.00
With the nearest neighbours (Å) after each atom.
Space group Pm-3m (No. 221)
Inequivalent atoms, fractional coordinates:
La (0.0000, 0.0000, 0.0000)  8 Mg 3.38
Mg (0.5000, 0.5000, 0.5000)  8 La 3.38

***

Entry 7:
The following is a GGA-PBEsol calculation of a relaxed La4Mg3 crystal, from Alexandria.

Properties
Crystal system: tetragonal
Energy relative to the lowest polymorph listed for this composition, eV/f.u.: 0.000
E_tot, Ha/atom: -0.140
ΔH_f (0 K), eV/atom: -0.025

abc: 3.5685 3.5685 33.0359
angles: 90.00 90.00 90.00
With the nearest neighbours (Å) after each atom.
Space group I4/mmm (No. 139)
Inequivalent atoms, fractional coordinates:
La (0.0000, 0.0000, 0.0709)  4 Mg 3.44, 8 La 3.57-3.64
La (0.0000, 0.0000, 0.3496)  4 Mg 3.48, 8 La 3.57-3.64
Mg (0.0000, 0.0000, 0.2227)  4 Mg 3.10
Mg (0.0000, 0.0000, 0.5000)  8 La 3.44, 4 Mg 3.57

***

Entry 8:
The following is a GGA-PBEsol calculation of a relaxed La3Mg4 crystal, from Alexandria.

Properties
Crystal system: tetragonal
E_tot, Ha/atom: -0.122
ΔH_f (0 K), eV/atom: -0.039

abc: 3.4455 3.4455 33.1626
angles: 90.00 90.00 90.00
With the nearest neighbours (Å) after each atom.
Space group I4/mmm (No. 139)
Inequivalent atoms, fractional coordinates:
La (0.0000, 0.0000, 0.0000)  4 La 3.45, 8 Mg 3.46
La (0.0000, 0.0000, 0.2920)  8 La 3.45-3.70, 4 Mg 3.48
Mg (0.0000, 0.0000, 0.1331)  8 Mg 3.12-3.45, 4 La 3.48
Mg (0.0000, 0.0000, 0.4258)  8 Mg 3.12-3.45, 4 La 3.46

***

Entry 9:
The following is a GGA-PBEsol calculation of a relaxed La2Mg crystal, from Alexandria.

Properties
Crystal system: monoclinic
Energy relative to the lowest polymorph listed for this composition, eV/f.u.: 0.021
E_tot, Ha/atom: -0.153
ΔH_f (0 K), eV/atom: -0.030

abc: 11.2782 4.7128 3.5087
angles: 90.00 108.03 90.00
With the nearest neighbours (Å) after each atom.
Space group C2/m (No. 12)
Inequivalent atoms, fractional coordinates:
La (0.1746, 0.0000, 0.1742)  7 La 3.35-3.74, 5 Mg 3.48-3.49
Mg (0.0000, 0.5000, 0.5000)  10 La 3.48-3.49, 2 Mg 3.51

***

Entry 10:
The following is a GGA-PBEsol calculation of a relaxed La2Mg crystal, from Alexandria.

Properties
Crystal system: tetragonal
Energy relative to the lowest polymorph listed for this composition, eV/f.u.: 0.220
E_tot, Ha/atom: -0.151
ΔH_f (0 K), eV/atom: 0.036

abc: 8.3427 8.3427 5.4306
angles: 90.00 90.00 90.00
With the nearest neighbours (Å) after each atom.
Space group I4/mcm (No. 140)
Inequivalent atoms, fractional coordinates:
La (0.1490, 0.3510, 0.0000)  4 Mg 3.46, 7 La 3.52-3.68
Mg (0.0000, 0.0000, 0.2500)  2 Mg 2.72

***

Entry 11:
The following is a GGA-PBEsol calculation of a relaxed La2Mg crystal, from Alexandria.

Properties
Crystal system: hexagonal
Energy relative to the lowest polymorph listed for this composition, eV/f.u.: 0.047
E_tot, Ha/atom: -0.153
ΔH_f (0 K), eV/atom: -0.022

abc: 9.5630 9.5630 3.5291
angles: 90.00 90.00 120.00
With the nearest neighbours (Å) after each atom.
Space group P-62m (No. 189)
Inequivalent atoms, fractional coordinates:
La (0.0000, 0.3032, 0.0000)  4 Mg 3.34-3.39, 8 La 3.53-3.67
La (0.0000, 0.6371, 0.5000)  5 Mg 3.47-3.53, 8 La 3.53-3.67
Mg (0.0000, 0.0000, 0.5000)  9 La 3.39-3.47, 2 Mg 3.53
Mg (0.3333, 0.6667, 0.0000)  9 La 3.34-3.53, 2 Mg 3.53

***

Entry 12:
The following is a GGA-PBEsol calculation of a relaxed LaMg2Mn crystal, from Alexandria.

Properties
Crystal system: orthorhombic
E_tot, Ha/atom: -0.159
ΔH_f (0 K), eV/atom: 0.297

abc: 3.4838 4.8075 5.4057
angles: 90.00 90.00 90.00
With the nearest neighbours (Å) after each atom.
Space group Pmmm (No. 47)
Inequivalent atoms, fractional coordinates:
La (0.0000, 0.0000, 0.0000)  4 Mn 2.97, 4 Mg 3.22
Mg (0.0000, 0.5000, 0.5000)  4 Mg 2.97, 4 Mn 3.22
Mg (0.5000, 0.0000, 0.5000)  4 Mg 2.97, 4 La 3.22
Mn (0.5000, 0.5000, 0.0000)  4 La 2.97, 4 Mg 3.22